[1]
Material: CsSrGa2H8
Method: DFT, PBE-GGA
State: optimized geometry

Lattice parameters (Å, degrees): 4.9699 4.9699 9.0661 74.09 74.09 60.00
Element x y z (fractional)
H1 0.5424 0.0624 0.8542
Sr1 0.0000 0.0000 0.0000
Cs1 0.5000 0.5000 0.5000
H2 0.1995 0.1995 0.4016
Ga1 0.2611 0.2611 0.2168
Ga2 0.7389 0.7389 0.7832
H3 0.5409 0.5424 0.8542
H4 0.8005 0.8005 0.5984
H5 0.9376 0.4591 0.1458
H6 0.4591 0.4576 0.1458
H7 0.4576 0.9376 0.1458
H8 0.0624 0.5409 0.8542

calculated total energy: -37.281 eV/cell

---

[2]
Material: Sc5TcRh2
Method: DFT, PBE-GGA
State: optimized geometry

Lattice parameters (Å, degrees): 5.8844 9.0467 11.1965 90.00 90.00 90.00
Element x y z (fractional)
Rh1 0.3392 0.5000 0.8782
Sc1 0.0001 0.2500 0.4999
Sc2 0.4999 0.2500 0.9999
Sc3 0.3338 0.0000 0.6115
Rh2 0.3392 0.0000 0.8782
Rh3 0.1608 0.0000 0.3782
Sc4 0.8338 0.5000 0.8885
Sc5 0.8338 0.0000 0.8885
Rh4 0.6608 0.0000 0.1218
Tc1 0.0001 0.7500 0.0001
Rh5 0.8392 0.5000 0.6218
Sc6 0.1546 0.2500 0.7799
Rh6 0.6608 0.5000 0.1218
Sc7 0.3454 0.2500 0.2799
Tc2 0.4999 0.7500 0.5001
Sc8 0.6547 0.2500 0.7199
Sc9 0.8453 0.2500 0.2199
Sc10 0.1662 0.5000 0.1115
Rh7 0.8392 0.0000 0.6218
Sc11 0.3338 0.5000 0.6115
Sc12 0.6662 0.5000 0.3885
Tc3 0.9999 0.2500 0.9999
Sc13 0.6662 0.0000 0.3885
Sc14 0.5001 0.7500 0.0001
Sc15 0.3453 0.7500 0.2801
Rh8 0.1608 0.5000 0.3782
Sc16 0.6546 0.7500 0.7201
Sc17 0.1662 0.0000 0.1115
Sc18 0.8454 0.7500 0.2201
Sc19 0.9999 0.7500 0.5001
Sc20 0.1547 0.7500 0.7801
Tc4 0.5001 0.2500 0.4999

calculated total energy: -245.629 eV/cell
formation enthalpy at 0 K: -452 kJ/mol of formula units

---

[3]
Material: Sc2MnRh3
Method: DFT, PBE-GGA
State: optimized geometry

Lattice parameters (Å, degrees): 3.2198 4.4283 7.0377 108.34 90.00 90.00
Site moments in Bohr magnetons follow the coordinates.
Element x y z (fractional)
Mn1 0.0000 0.0000 0.0000  3.77
Rh1 0.5000 0.1644 0.3289  0.18
Sc1 0.0000 0.3381 0.6762  -0.06
Sc2 0.0000 0.6619 0.3238  -0.06
Rh2 0.5000 0.5000 0.0000  0.34
Rh3 0.5000 0.8356 0.6711  0.18

calculated total energy: -48.475 eV/cell
formation enthalpy at 0 K: -443 kJ/mol of formula units

---

[4]
Material: SrTiP2O
Method: DFT, PBE-GGA
State: optimized geometry

Lattice parameters (Å, degrees): 5.0432 5.0432 3.8144 90.00 90.00 90.00
Site moments in Bohr magnetons follow the coordinates.
Element x y z (fractional)
Sr1 0.5000 0.5000 0.5000  0.01
P1 0.5000 0.0000 0.0000  0.09
P2 0.0000 0.5000 0.0000  0.09
O1 0.0000 0.0000 0.5000  0.07
Ti1 0.0000 0.0000 0.0000  0.01

calculated total energy: -30.944 eV/cell
relative energy among the computed polymorphs: 0 meV/atom

---

[5]
Material: ZrRe2Ag
Method: DFT, PBE-GGA
State: optimized geometry

Lattice parameters (Å, degrees): 4.9447 4.9447 5.1116 81.04 81.04 33.76
Element x y z (fractional)
Ag1 0.2541 0.2541 0.2550
Zr1 0.4980 0.4980 0.4885
Re1 0.7442 0.7442 0.7840
Re2 0.0037 0.0037 0.9725

calculated total energy: -34.845 eV/cell
relative energy among the computed polymorphs: 245 meV/atom
formation enthalpy at 0 K: 140 kJ/mol of formula units

---

[6]
Material: Ca2BeTl
Method: DFT, PBE-GGA
State: optimized geometry

Lattice parameters (Å, degrees): 7.8477 7.8477 7.8477 32.01 32.01 32.01
Element x y z (fractional)
Be1 0.7933 0.7933 0.7933
Ca1 0.0325 0.0325 0.0325
Tl1 0.4572 0.4572 0.4572
Ca2 0.2170 0.2170 0.2170

calculated total energy: -10.032 eV/cell
relative energy among the computed polymorphs: 24 meV/atom
formation enthalpy at 0 K: 6 kJ/mol of formula units

---

[7]
Material: PmEuCuPb
Method: DFT, PBE-GGA
State: optimized geometry

Lattice parameters (Å, degrees): 5.3928 5.3928 5.3928 60.00 60.00 60.00
Site moments in Bohr magnetons follow the coordinates.
Element x y z (fractional)
Cu1 0.2500 0.2500 0.2500  0.00
Pb1 0.7500 0.7500 0.7500  -0.02
Eu1 0.0000 0.0000 0.0000  6.85
Pm1 0.5000 0.5000 0.5000  0.07

calculated total energy: -24.081 eV/cell
formation enthalpy at 0 K: -121 kJ/mol of formula units

---

[8]
Material: KReSb3
Method: DFT, PBE-GGA
State: optimized geometry

Lattice parameters (Å, degrees): 5.3356 5.3356 5.3356 90.00 90.00 90.00
Site moments in Bohr magnetons follow the coordinates.
Element x y z (fractional)
Sb1 0.5000 0.0000 0.0000  -0.01
Re1 0.0000 0.0000 0.0000  0.69
K1 0.5000 0.5000 0.5000  0.01
Sb2 0.0000 0.0000 0.5000  0.01
Sb3 0.0000 0.5000 0.0000  0.03

calculated total energy: -23.888 eV/cell
relative energy among the computed polymorphs: 0 meV/atom

---

[9]
Material: Lu3Ga9Pd2
Method: DFT, PBE-GGA
State: optimized geometry

Lattice parameters (Å, degrees): 8.0839 8.0839 8.0839 149.38 108.32 79.93
Element x y z (fractional)
Ga1 0.5229 0.1549 0.3680
Ga2 0.0783 0.3611 0.7171
Ga3 0.2131 0.8451 0.3680
Ga4 0.9217 0.6389 0.2829
Pd1 0.8184 0.0000 0.8184
Ga5 0.3560 0.6389 0.7171
Ga6 0.6440 0.3611 0.2829
Lu1 0.1993 0.1993 0.0000
Lu2 0.8007 0.8007 0.0000
Ga7 0.0000 0.5000 0.5000
Ga8 0.4771 0.8451 0.6320
Ga9 0.7869 0.1549 0.6320
Lu3 0.5000 0.5000 0.0000
Pd2 0.1816 0.0000 0.1816

calculated total energy: -59.610 eV/cell
formation enthalpy at 0 K: -812 kJ/mol of formula units

---

[10]
Material: Er2AgAu3
Method: DFT, PBE-GGA
State: optimized geometry

Lattice parameters (Å, degrees): 4.7653 7.5688 8.3841 116.84 106.60 90.00
Element x y z (fractional)
Er1 0.6578 0.6576 0.3152
Au1 0.1761 0.4258 0.3516
Ag1 0.0000 0.5000 0.0000
Au2 0.5000 0.7500 0.0000
Ag2 0.0000 0.0000 0.0000
Er2 0.6577 0.1576 0.3152
Au3 0.1761 0.9258 0.3516
Er3 0.3423 0.8424 0.6848
Er4 0.3422 0.3424 0.6848
Au4 0.8239 0.0742 0.6484
Au5 0.5000 0.2500 0.0000
Au6 0.8239 0.5742 0.6484

calculated total energy: -51.140 eV/cell
relative energy among the computed polymorphs: 73 meV/atom
formation enthalpy at 0 K: -363 kJ/mol of formula units

---

[11]
Material: Tm3GaFe
Method: DFT, PBE-GGA
State: optimized geometry

Lattice parameters (Å, degrees): 3.7642 7.7101 8.3149 91.75 90.00 104.13
Element x y z (fractional)
Tm1 0.6199 0.2731 0.7766
Tm2 0.2611 0.5553 0.0185
Tm3 0.9600 0.9529 0.9950
Fe1 0.2501 0.5329 0.6663
Tm4 0.4240 0.8809 0.6451
Tm5 0.7828 0.5988 0.4029
Ga1 0.4327 0.8988 0.2800
Ga2 0.6112 0.2554 0.1416
Tm6 0.0840 0.2012 0.4267
Fe2 0.7942 0.6211 0.7551

calculated total energy: -52.192 eV/cell
formation enthalpy at 0 K: -115 kJ/mol of formula units

---

[12]
Material: Zr2ZnGa
Method: DFT, PBE-GGA
State: optimized geometry

Lattice parameters (Å, degrees): 6.0541 7.1724 5.7734 104.24 74.74 50.92
Element x y z (fractional)
Zn1 0.2065 0.5391 0.5392
Zr1 0.4153 0.4610 0.9577
Ga1 0.7146 0.5420 0.5421
Zn2 0.4644 0.0399 0.0400
Zr2 0.1658 0.9597 0.4596
Ga2 0.9505 0.0415 0.0413
Zr3 0.9168 0.4575 0.9608
Zr4 0.6661 0.9593 0.4593

calculated total energy: -44.075 eV/cell
formation enthalpy at 0 K: -62 kJ/mol of formula units

---

[13]
Material: Ag3Te
Method: DFT, PBE-GGA
State: optimized geometry

Lattice parameters (Å, degrees): 9.9921 9.9921 9.9921 18.10 18.10 18.10
Element x y z (fractional)
Te1 0.0000 0.0000 0.0000
Ag1 0.5000 0.5000 0.5000
Ag2 0.2426 0.2426 0.2426
Ag3 0.7574 0.7574 0.7574

calculated total energy: -10.968 eV/cell
relative energy among the computed polymorphs: 155 meV/atom

---

[14]
Material: BeReAg2
Method: DFT, PBE-GGA
State: optimized geometry

Lattice parameters (Å, degrees): 4.9656 4.9656 5.0159 70.43 70.43 30.80
Element x y z (fractional)
Re1 0.2209 0.2209 0.3236
Be1 0.4907 0.4907 0.4242
Ag1 0.0064 0.0064 0.9804
Ag2 0.7820 0.7820 0.7718

calculated total energy: -19.842 eV/cell
formation enthalpy at 0 K: 196 kJ/mol of formula units

---

[15]
Material: RbSrTa2Pt
Method: DFT, PBE-GGA
State: optimized geometry

Lattice parameters (Å, degrees): 5.0653 5.5138 5.0653 90.00 90.00 90.00
Site moments in Bohr magnetons follow the coordinates.
Element x y z (fractional)
Rb1 0.0000 0.5000 0.0000  0.01
Ta1 0.0000 0.0000 0.5000  0.30
Ta2 0.5000 0.0000 0.0000  0.37
Sr1 0.0000 0.0000 0.0000  0.00
Pt1 0.5000 0.5000 0.5000  0.00

calculated total energy: -18.776 eV/cell
relative energy among the computed polymorphs: 264 meV/atom
formation enthalpy at 0 K: 1314 kJ/mol of formula units

---

[16]
Material: RbNa2Te2
Method: DFT, PBE-GGA
State: optimized geometry

Lattice parameters (Å, degrees): 5.6427 5.3287 12.5977 96.24 90.00 90.00
Element x y z (fractional)
Na1 0.7500 0.7488 0.5005
Na2 0.2500 0.2512 0.4995
Na3 0.2500 0.8528 0.8746
Te1 0.7500 0.6073 0.9987
Te2 0.2500 0.3927 0.0013
Na4 0.7500 0.1472 0.1254
Te3 0.2500 0.7847 0.6301
Rb1 0.2500 0.6996 0.2723
Te4 0.7500 0.2153 0.3699
Rb2 0.7500 0.3004 0.7277

calculated total energy: -28.260 eV/cell
relative energy among the computed polymorphs: 0 meV/atom

---

[17]
Material: HfHgAsSe2
Method: DFT, PBE-GGA
State: optimized geometry

Lattice parameters (Å, degrees): 5.0675 5.0675 5.1248 90.00 90.00 90.00
Element x y z (fractional)
Se1 0.0000 0.5000 0.0000
Se2 0.5000 0.0000 0.0000
Hf1 0.5000 0.5000 0.5000
As1 0.0000 0.0000 0.5000
Hg1 0.0000 0.0000 0.0000

calculated total energy: -17.656 eV/cell
relative energy among the computed polymorphs: 1039 meV/atom

---

[18]
Material: Tb2Sm3Dy4
Method: DFT, PBE-GGA
State: optimized geometry

Lattice parameters (Å, degrees): 6.0643 11.2948 11.2948 61.81 63.18 63.18
Element x y z (fractional)
Tb1 0.4228 0.2843 0.5072
Tb2 0.9228 0.5072 0.2843
Sm1 0.2489 0.9854 0.6820
Dy1 0.0812 0.1594 0.3807
Dy2 0.4208 0.9520 0.1730
Dy3 0.5792 0.0480 0.8270
Tb3 0.0772 0.4928 0.7157
Sm2 0.2500 0.6511 0.3489
Sm3 0.7489 0.6820 0.9854
Dy4 0.4188 0.6193 0.8406
Tb4 0.5772 0.7157 0.4928
Dy5 0.9208 0.1730 0.9520
Dy6 0.5812 0.3807 0.1594
Dy7 0.0792 0.8270 0.0480
Sm4 0.7511 0.0146 0.3180
Sm5 0.2511 0.3180 0.0146
Sm6 0.7500 0.3489 0.6511
Dy8 0.9188 0.8406 0.6193

calculated total energy: -81.896 eV/cell
formation enthalpy at 0 K: 85 kJ/mol of formula units

---

[19]
Material: SnNCl2
Method: DFT, PBE-GGA
State: optimized geometry

Lattice parameters (Å, degrees): 10.2508 10.2508 10.2508 24.17 24.17 24.17
Site moments in Bohr magnetons follow the coordinates.
Element x y z (fractional)
Cl1 0.8831 0.8831 0.8831  0.01
Sn1 0.5000 0.5000 0.5000  0.00
Cl2 0.1169 0.1169 0.1169  0.01
N1 0.0000 0.0000 0.0000  1.94

calculated total energy: -13.742 eV/cell
relative energy among the computed polymorphs: 42 meV/atom

---

[20]
Material: La4DyHo3
Method: DFT, PBE-GGA
State: optimized geometry

Lattice parameters (Å, degrees): 3.6657 6.2869 12.3034 75.33 98.57 90.00
Element x y z (fractional)
Dy1 0.5000 0.0000 0.0000
La1 0.2518 0.2437 0.5037
La2 0.7482 0.7563 0.4963
La3 0.6230 0.5432 0.2461
Ho1 0.8780 0.9543 0.7560
Ho2 0.1220 0.0457 0.2440
La4 0.3770 0.4568 0.7539
Ho3 0.0000 0.5000 0.0000

calculated total energy: -37.959 eV/cell
relative energy among the computed polymorphs: 0 meV/atom
formation enthalpy at 0 K: 8 kJ/mol of formula units

---

[21]
Material: Pa2Zn3CoNi12
Method: DFT, PBE-GGA
State: optimized geometry

Lattice parameters (Å, degrees): 8.6116 8.6116 8.6116 42.51 42.51 42.51
Site moments in Bohr magnetons follow the coordinates.
Element x y z (fractional)
Zn1 0.5000 0.0000 0.0000  0.00
Ni1 0.5801 0.5801 0.1961  -0.01
Ni2 0.5787 0.1282 0.1282  0.12
Zn2 0.0000 0.0000 0.5000  0.00
Ni3 0.8718 0.8718 0.4213  0.12
Ni4 0.5801 0.1961 0.5801  -0.01
Ni5 0.4199 0.4199 0.8039  -0.01
Ni6 0.4213 0.8718 0.8718  0.12
Ni7 0.8039 0.4199 0.4199  -0.01
Co1 0.0000 0.0000 0.0000  1.72
Ni8 0.4199 0.8039 0.4199  -0.01
Ni9 0.1961 0.5801 0.5801  -0.01
Ni10 0.1282 0.1282 0.5787  0.12
Zn3 0.0000 0.5000 0.0000  0.00
Ni11 0.8718 0.4213 0.8718  0.12
Pa1 0.6389 0.6389 0.6389  -0.07
Ni12 0.1282 0.5787 0.1282  0.12
Pa2 0.3611 0.3611 0.3611  -0.07

calculated total energy: -98.215 eV/cell
formation enthalpy at 0 K: 104 kJ/mol of formula units

---

[22]
Material: Na4Np3NbN8
Method: DFT, PBE-GGA
State: optimized geometry

Lattice parameters (Å, degrees): 6.7749 6.9028 6.7749 119.41 120.00 90.00
Site moments in Bohr magnetons follow the coordinates.
Element x y z (fractional)
Na1 0.5000 0.0000 0.5000  0.00
N1 0.7746 0.3139 0.5492  -0.10
Na2 0.0000 0.0000 0.5000  0.00
N2 0.2254 0.6861 0.9610  -0.10
N3 0.2644 0.3139 0.0390  -0.10
N4 0.2709 0.3131 0.5419  -0.12
N5 0.2254 0.6861 0.4508  -0.10
N6 0.7746 0.3139 0.0390  -0.10
Np1 0.5000 0.5000 0.0000  2.17
Na3 0.5000 0.0000 0.0000  0.00
N7 0.7356 0.6861 0.9610  -0.10
Np2 0.0000 0.5000 0.5000  2.17
Np3 0.5000 0.5000 0.5000  2.17
Na4 0.0000 0.0000 0.0000  0.00
Nb1 0.0000 0.5000 0.0000  0.24
N8 0.7291 0.6869 0.4581  -0.12

calculated total energy: -133.792 eV/cell

---

[23]
Material: CaEr6S8
Method: DFT, PBE-GGA
State: optimized geometry

Lattice parameters (Å, degrees): 7.7340 7.7340 7.7340 60.00 60.00 60.00
Element x y z (fractional)
S1 0.2534 0.7466 0.7466
S2 0.7466 0.2534 0.7466
Er1 0.5000 0.0000 0.0000
S3 0.2534 0.7466 0.2534
S4 0.7466 0.2534 0.2534
S5 0.7500 0.7500 0.7500
Er2 0.5000 0.5000 0.0000
Er3 0.0000 0.5000 0.5000
S6 0.2500 0.2500 0.2500
Ca1 0.0000 0.0000 0.0000
Er4 0.5000 0.0000 0.5000
S7 0.2534 0.2534 0.7466
S8 0.7466 0.7466 0.2534
Er5 0.0000 0.5000 0.0000
Er6 0.0000 0.0000 0.5000

calculated total energy: -93.015 eV/cell